# Ni2PdF6

A relaxed Ni2PdF6 crystal (GGA+U, the Alexandria database).

Unit cell a=4.617 b=5.275 c=5.275 alpha=120.00 beta=90.00 gamma=90.00
Fractional coordinates of all 9 atoms:
Pd1 0.000 0.000 0.000
F1 0.266 0.649 0.000
F2 0.734 0.351 0.000
F3 0.266 0.351 0.351
Ni1 0.500 0.333 0.667
F4 0.734 0.649 0.649
F5 0.734 0.000 0.351
F6 0.266 0.000 0.649
Ni2 0.500 0.667 0.333

Properties
- Space-group type: No. 162
- E: -4.18 eV/atom
- M_tot: 0.667 μB per atom